Entry from Alexandria: a geometry-optimized AlSbCl2 structure (PBE).

Space-group type: P2/m, No. 10
Energy relative to the elements, uncorrected: -0.33 eV per atom
DOS(E_F): 0.62 states/eV per cell
Magnetization: 0.000 μB per formula unit
Energy above the lowest structure with this stoichiometry: 0.319 eV per atom

Lattice parameters (Å, degrees): 5.0408 3.4735 5.5533 90.00 90.07 90.00
Positions (direct):
Al 0.0000 0.0000 0.0000
Sb 0.0000 0.5000 0.5000
Cl 0.5000 0.0000 0.0000
Cl 0.5000 0.5000 0.5000



Entry from Alexandria: a geometry-optimized La2CdRuPb structure (PBE).

Space-group type: P4/mmm, No. 123
DOS(E_F): 3.47 states/eV per cell
Magnetization: 0.000 μB per formula unit
Calculated formation energy: -0.29 eV per atom
Energy above the lowest structure with this stoichiometry: 0.000 eV per atom

Lattice parameters (Å, degrees): 5.3140 5.3140 5.3199 90.00 90.00 90.00
Positions (direct):
La 0.0000 0.5000 0.0000
La 0.5000 0.0000 0.0000
Cd 0.0000 0.0000 0.5000
Ru 0.0000 0.0000 0.0000
Pb 0.5000 0.5000 0.5000



Entry from Alexandria: a geometry-optimized Ca2AlSb structure (PBE).

Space-group type: Pmm2, No. 25
Energy relative to the elements, uncorrected: -0.52 eV per atom
DOS(E_F): 1.68 states/eV per cell
Magnetization: 0.000 μB per formula unit
Energy above the lowest structure with this stoichiometry: 0.000 eV per atom

Lattice parameters (Å, degrees): 4.3888 4.9597 4.9562 90.00 90.00 90.00
Positions (direct):
Ca 0.0000 0.0000 0.0000
Ca 0.0000 0.5000 0.4992
Al 0.5000 0.0000 0.5003
Sb 0.5000 0.5000 0.9987



Entry from Alexandria: a geometry-optimized ScNiOs2 structure (PBE).

Space-group type: P4/mmm, No. 123
DOS(E_F): 5.73 states/eV per cell
Magnetization: 0.001 μB per formula unit
Calculated formation energy: 0.12 eV per atom
Energy above the lowest structure with this stoichiometry: 0.208 eV per atom

Lattice parameters (Å, degrees): 2.7887 2.7887 7.6053 90.00 90.00 90.00
Positions (direct):
Sc 0.0000 0.0000 0.0000
Ni 0.0000 0.0000 0.5000
Os 0.5000 0.5000 0.2841
Os 0.5000 0.5000 0.7159



Entry from Alexandria: a geometry-optimized TaMn2HIr structure (PBE).

Space-group type: P4/mmm, No. 123
DOS(E_F): 3.32 states/eV per cell
Magnetization: 2.907 μB per formula unit
Energy above the lowest structure with this stoichiometry: 0.022 eV per atom

Lattice parameters (Å, degrees): 3.8592 3.8592 3.8448 90.00 90.00 90.00
Positions (direct):
Ta 0.0000 0.0000 0.0000
Mn 0.0000 0.5000 0.5000
Mn 0.5000 0.0000 0.5000
H 0.5000 0.5000 0.5000
Ir 0.5000 0.5000 0.0000



Entry from Alexandria: a geometry-optimized Dy7In2Pt2 structure (PBE).

Space-group type: Cmmm, No. 65
DOS(E_F): 9.68 states/eV per cell
Magnetization: 0.000 μB per formula unit
Calculated formation energy: -0.55 eV per atom

Lattice parameters (Å, degrees): 6.8976 6.8976 7.0527 90.00 90.00 106.60
Positions (direct):
Dy 0.0000 0.0000 0.0000
Dy 0.0000 0.5000 0.2525
Dy 0.0000 0.5000 0.7475
Dy 0.5000 0.0000 0.2525
Dy 0.5000 0.0000 0.7475
Dy 0.5000 0.5000 0.2462
Dy 0.5000 0.5000 0.7538
In 0.1743 0.1743 0.5000
In 0.8257 0.8257 0.5000
Pt 0.2887 0.7113 0.0000
Pt 0.7113 0.2887 0.0000